Ca2LaMo: relaxed, PBE-GGA.

Computed properties:
electronic total energy	-17.00	eV for the cell shown
calculated formation energy	690	meV per atom
size of the total moment	0.17	μB per atom

Structure (POSCAR):
```
Ca2LaMo
1.0
3.249 0.000 0.000
0.000 5.239 0.000
0.000 0.000 6.549
Ca La Mo
2 1 1
Cartesian
0.000 0.000 1.484 Ca
0.000 0.000 5.065 Ca
1.624 2.620 3.274 La
1.624 2.620 0.000 Mo
```